# 1
Here is crystalline Nd3ErTm2Se6 at its relaxed geometry from Alexandria via LeMat-Bulk. Energies are from GGA-PBE.

Geometry as POSCAR:
```
Nd3ErTm2Se6
1.0
3.5139 -6.1127 0.0000
3.5139 6.1127 0.0000
-2.3558 0.0000 6.9482
Nd Er Tm Se
3 1 2 6
Direct
0.0000 0.0000 0.0000 Nd
0.3341 0.6659 0.0000 Nd
0.6659 0.3341 0.0000 Nd
0.5000 0.5000 0.5000 Er
0.1665 0.8335 0.5000 Tm
0.8335 0.1665 0.5000 Tm
0.0887 0.4234 0.2697 Se
0.2419 0.2419 0.7299 Se
0.4234 0.0887 0.2697 Se
0.5766 0.9113 0.7303 Se
0.7581 0.7581 0.2701 Se
0.9113 0.5766 0.7303 Se
```

Summary:
**Raw formation energy**: -1767 meV per atom

***

# 2
Here is crystalline NbCo2MoH at its relaxed geometry from Alexandria via LeMat-Bulk. Energies are from GGA-PBE.

Geometry as POSCAR:
```
NbCo2MoH
1.0
3.7580 0.0000 0.0000
0.0000 3.7580 0.0000
0.0000 0.0000 3.9778
Nb Co Mo H
1 2 1 1
Direct
0.0000 0.0000 0.0000 Nb
0.0000 0.5000 0.5000 Co
0.5000 0.0000 0.5000 Co
0.5000 0.5000 0.0000 Mo
0.0000 0.0000 0.5000 H
```

Summary:
**Total DFT energy (no corrections)**: -7.72 eV per atom

***

# 3
Here is crystalline Y3HoCu2 at its relaxed geometry from Alexandria via LeMat-Bulk. Energies are from GGA-PBE.

Geometry as POSCAR:
```
Y3HoCu2
1.0
4.9317 0.0000 0.0000
0.0000 8.7381 0.0000
0.0000 0.0000 6.8910
Y Ho Cu
6 2 4
Direct
0.0000 0.0757 0.0000 Y
0.0000 0.3375 0.3710 Y
0.0000 0.6625 0.8710 Y
0.0000 0.9243 0.5000 Y
0.5000 0.1661 0.6572 Y
0.5000 0.8339 0.1572 Y
0.5000 0.4229 0.0297 Ho
0.5000 0.5771 0.5297 Ho
0.0000 0.3484 0.7766 Cu
0.0000 0.6516 0.2766 Cu
0.5000 0.1516 0.2523 Cu
0.5000 0.8484 0.7523 Cu
```

Summary:
**ΔH_f (0 K)**: -164 meV/atom

***

# 4
Here is crystalline AlPbW2 at its relaxed geometry from Alexandria via LeMat-Bulk. Energies are from GGA-PBE.

Geometry as POSCAR:
```
AlPbW2
1.0
0.0000 3.2996 3.2996
3.2996 0.0000 3.2996
3.2996 3.2996 0.0000
Al Pb W
1 1 2
Direct
0.0000 0.0000 0.0000 Al
0.7500 0.7500 0.7500 Pb
0.2500 0.2500 0.2500 W
0.5000 0.5000 0.5000 W
```

Summary:
**ΔH_f (0 K)**: 771 meV/atom

***

# 5
Here is crystalline CeSm8Tm2 at its relaxed geometry from Alexandria via LeMat-Bulk. Energies are from GGA-PBE.

Geometry as POSCAR:
```
CeSm8Tm2
1.0
-2.8146 4.0791 7.9491
2.8146 -4.0791 7.9491
2.8146 4.0791 -7.9491
Ce Sm Tm
1 8 2
Direct
0.0000 0.0000 0.0000 Ce
0.1562 0.8639 0.2923 Sm
0.1644 0.6644 0.5000 Sm
0.2897 0.5000 0.7897 Sm
0.4284 0.1361 0.2923 Sm
0.5716 0.8639 0.7077 Sm
0.7103 0.5000 0.2103 Sm
0.8356 0.3356 0.5000 Sm
0.8438 0.1361 0.7077 Sm
0.3005 0.3005 0.0000 Tm
0.6995 0.6995 0.0000 Tm
```

Summary:
**ΔH_f (0 K)**: 122 meV/atom

***

# 6
Here is crystalline VSi3Rh at its relaxed geometry from Alexandria via LeMat-Bulk. Energies are from GGA-PBE.

Geometry as POSCAR:
```
VSi3Rh
1.0
4.5819 0.0000 0.0000
0.0000 4.5819 0.0000
0.0000 0.0000 4.5819
V Si Rh
1 3 1
Direct
0.0000 0.0000 0.0000 V
0.0000 0.5000 0.5000 Si
0.5000 0.0000 0.5000 Si
0.5000 0.5000 0.0000 Si
0.5000 0.5000 0.5000 Rh
```

Summary:
**Raw formation energy**: 723 meV per atom

***

# 7
Here is crystalline Rb2PaPb2O6 at its relaxed geometry from Alexandria via LeMat-Bulk. Energies are from GGA-PBE.

Geometry as POSCAR:
```
Rb2PaPb2O6
1.0
5.3856 -3.2601 0.0000
5.3856 3.2601 0.0000
-3.5111 0.0000 6.6913
Rb Pa Pb O
2 1 2 6
Direct
0.2014 0.2014 0.1467 Rb
0.7986 0.7986 0.8533 Rb
0.0000 0.0000 0.5000 Pa
0.4336 0.4336 0.7595 Pb
0.5664 0.5664 0.2405 Pb
0.1859 0.7123 0.2675 O
0.2122 0.2122 0.5394 O
0.2877 0.8141 0.7325 O
0.7123 0.1859 0.2675 O
0.7878 0.7878 0.4606 O
0.8141 0.2877 0.7325 O
```

Summary:
**Raw formation energy**: -1911 meV per atom

***

# 8
Here is crystalline RbErCu2F8 at its relaxed geometry from Alexandria via LeMat-Bulk. Energies are from GGA-PBE.

Geometry as POSCAR:
```
RbErCu2F8
1.0
6.0240 0.0000 0.0000
-3.0120 5.2170 0.0000
0.0000 0.0000 7.8065
Rb Er Cu F
1 1 2 8
Direct
0.0000 0.0000 0.0000 Rb
0.0000 0.0000 0.5000 Er
0.3333 0.6667 0.2284 Cu
0.6667 0.3333 0.7716 Cu
0.1600 0.3201 0.3261 F
0.1600 0.8400 0.3261 F
0.3201 0.1600 0.6739 F
0.3333 0.6667 0.9953 F
0.6667 0.3333 0.0047 F
0.6799 0.8400 0.3261 F
0.8400 0.1600 0.6739 F
0.8400 0.6799 0.6739 F
```

Summary:
**Raw formation energy**: -2471 meV per atom

***

# 9
Here is crystalline NaAc3In12 at its relaxed geometry from Alexandria via LeMat-Bulk. Energies are from GGA-PBE.

Geometry as POSCAR:
```
NaAc3In12
1.0
4.8795 0.0000 0.0000
0.0000 4.8795 0.0000
0.0000 0.0000 19.3395
Na Ac In
1 3 12
Direct
0.0000 0.0000 0.0000 Na
0.0000 0.0000 0.2416 Ac
0.0000 0.0000 0.5000 Ac
0.0000 0.0000 0.7584 Ac
0.0000 0.5000 0.1131 In
0.0000 0.5000 0.3715 In
0.0000 0.5000 0.6285 In
0.0000 0.5000 0.8869 In
0.5000 0.0000 0.1131 In
0.5000 0.0000 0.3715 In
0.5000 0.0000 0.6285 In
0.5000 0.0000 0.8869 In
0.5000 0.5000 0.0000 In
0.5000 0.5000 0.2538 In
0.5000 0.5000 0.5000 In
0.5000 0.5000 0.7462 In
```

Summary:
**ΔH_f (0 K)**: -312 meV/atom

***

# 10
Here is crystalline Ti2AlAuF at its relaxed geometry from Alexandria via LeMat-Bulk. Energies are from GGA-PBE.

Geometry as POSCAR:
```
Ti2AlAuF
1.0
5.0503 0.0000 0.0000
0.0000 5.0503 0.0000
0.0000 0.0000 4.2039
Ti Al Au F
2 1 1 1
Direct
0.0000 0.5000 0.0000 Ti
0.5000 0.0000 0.0000 Ti
0.0000 0.0000 0.5000 Al
0.5000 0.5000 0.0000 Au
0.5000 0.5000 0.5000 F
```

Summary:
**Raw formation energy**: 527 meV per atom

***

# 11
Here is crystalline CdCu2Re at its relaxed geometry from Alexandria via LeMat-Bulk. Energies are from GGA-PBE.

Geometry as POSCAR:
```
CdCu2Re
1.0
2.8277 -3.9582 0.0000
2.8277 3.9582 0.0000
0.0000 0.0000 2.6262
Cd Cu Re
1 2 1
Direct
0.0000 0.0000 0.0000 Cd
0.0000 0.5000 0.5000 Cu
0.5000 0.0000 0.5000 Cu
0.5000 0.5000 0.0000 Re
```

Summary:
**ΔH_f (0 K)**: 390 meV/atom

***

# 12
Here is crystalline BaAl2CoP at its relaxed geometry from Alexandria via LeMat-Bulk. Energies are from GGA-PBE.

Geometry as POSCAR:
```
BaAl2CoP
1.0
4.6499 0.0000 0.0000
0.0000 4.6499 0.0000
0.0000 0.0000 4.7344
Ba Al Co P
1 2 1 1
Direct
0.0000 0.0000 0.0000 Ba
0.0000 0.5000 0.5000 Al
0.5000 0.0000 0.5000 Al
0.5000 0.5000 0.5000 Co
0.5000 0.5000 0.0000 P
```

Summary:
**ΔH_f (0 K)**: -180 meV/atom